1.
Lu4CuPbN2 | PBE | optimized geometry

abc: 3.4407 3.4407 14.4499
angles: 90.00 90.00 120.00
Last column: nearest neighbours and their distance in Å.
Positions (direct):
Lu  0.0000  0.0000  0.1393  3 N 2.48
Lu  0.0000  0.0000  0.8607  3 N 2.48
Lu  0.6667  0.3333  0.3212  3 N 2.29
Lu  0.6667  0.3333  0.6788  3 N 2.29
Cu  0.6667  0.3333  0.0000  6 Lu 2.83
Pb  0.0000  0.0000  0.5000  6 Lu 3.26, 6 Pb 3.44
N  0.3333  0.6667  0.2422  6 Lu 2.29-2.48
N  0.3333  0.6667  0.7578  6 Lu 2.29-2.48

As for the space group: P-6m2 (187). Its crystal system is hexagonal. Its calculated volume is 18.518 Å³ per atom. Its electronic total energy is -50.21 eV/cell.

***

2.
InBiMo4N2 | PBE | optimized geometry

abc: 3.2852 3.2852 13.3460
angles: 90.00 90.00 120.00
Last column: nearest neighbours and their distance in Å.
Positions (direct):
In  0.0000  0.0000  0.0000  6 Mo 2.98, 6 In 3.29
Bi  0.3333  0.6667  0.5000  6 Mo 3.08, 6 Bi 3.29
Mo  0.0000  0.0000  0.3182  3 N 2.09
Mo  0.0000  0.0000  0.6818  3 N 2.09
Mo  0.3333  0.6667  0.1720  3 N 2.18
Mo  0.3333  0.6667  0.8280  3 N 2.18
N  0.6667  0.3333  0.2518  6 Mo 2.09-2.18
N  0.6667  0.3333  0.7482  6 Mo 2.09-2.18

As for the space group: P-6m2 (187). Its crystal system is hexagonal. Its calculated volume is 15.593 Å³ per atom. Its electronic total energy is -65.93 eV/cell.

***

Number 1: calculated density 11.19 Mg/m³. Number 2: calculated density 9.79 Mg/m³.